{"formula": "BaSrNi2", "functional": "SCAN", "state": "PBEsol geometry", "lattice": [[-3.0993, -2.6344, 1.0579], [2.9546, -3.2871, 0.4705], [-0.8073, 3.0222, 5.1631]], "species": ["Sr", "Ba", "Ni", "Ni"], "fractional_positions": [[0.3750, 0.4885, 0.9772], [0.8750, 0.7701, 0.5399], [0.8750, 0.0795, 0.1600], [0.3750, 0.1619, 0.3229]], "e_form_ev_per_fu": 0.352, "volume_a3_per_atom": 26.208, "rho_g_cm3": 5.42}

---

{"formula": "BaTaNi2", "functional": "SCAN", "state": "PBEsol geometry", "lattice": [[4.1837, 0.0000, 0.0000], [2.0918, 3.6232, 0.0000], [2.0918, 1.2077, 5.8257]], "species": ["Ba", "Ni", "Ni", "Ta"], "fractional_positions": [[0.2532, 0.2532, 0.2404], [0.0645, 0.0645, 0.8065], [0.7432, 0.7432, 0.7704], [0.4391, 0.4391, 0.6826]], "e_form_ev_per_fu": 0.980, "volume_a3_per_atom": 22.077, "rho_g_cm3": 8.19}

---

{"formula": "BaTaNi3", "functional": "SCAN", "state": "PBEsol geometry", "lattice": [[4.6626, 0.0000, 0.0000], [0.0000, 4.6626, 0.0000], [0.0000, 0.0000, 4.6626]], "species": ["Ni", "Ni", "Ni", "Ba", "Ta"], "fractional_positions": [[0.0000, 0.5000, 0.0000], [0.0000, 0.0000, 0.5000], [0.5000, 0.0000, 0.0000], [0.0000, 0.0000, 0.0000], [0.5000, 0.5000, 0.5000]], "e_form_ev_per_fu": 11.963, "volume_a3_per_atom": 20.272, "rho_g_cm3": 8.10}

---

{"formula": "BaTaNi2", "functional": "SCAN", "state": "PBEsol geometry", "lattice": [[4.1257, 0.0000, 0.0000], [2.0629, 4.5016, -0.0055], [2.0629, 1.0903, 4.3676]], "species": ["Ba", "Ni", "Ni", "Ta"], "fractional_positions": [[0.0000, 0.5000, 0.5000], [0.1912, 0.8088, 0.8088], [0.8088, 0.1912, 0.1912], [0.5000, 0.0000, 0.0000]], "e_form_ev_per_fu": 3.197, "volume_a3_per_atom": 20.285, "rho_g_cm3": 8.92}

---

Repeat the first record exactly.
{"formula": "BaSrNi2", "functional": "SCAN", "state": "PBEsol geometry", "lattice": [[-3.0993, -2.6344, 1.0579], [2.9546, -3.2871, 0.4705], [-0.8073, 3.0222, 5.1631]], "species": ["Sr", "Ba", "Ni", "Ni"], "fractional_positions": [[0.3750, 0.4885, 0.9772], [0.8750, 0.7701, 0.5399], [0.8750, 0.0795, 0.1600], [0.3750, 0.1619, 0.3229]], "e_form_ev_per_fu": 0.352, "volume_a3_per_atom": 26.208, "rho_g_cm3": 5.42}